The following is a DFT calculation (PBE) of an optimized crystal structure of ThZn6Pt4.

Properties
Calculated formation energy = -0.60 eV/atom
M_tot = 0.0 Bohr magnetons per cell
DOS at the Fermi energy = 3.740 states/eV/f.u.

Lattice parameters (Å, degrees): 7.342 7.342 4.056 90.00 90.00 120.00
Element x y z (fractional)
Th 0.000 0.000 0.000
Zn 0.205 0.409 0.500
Zn 0.205 0.795 0.500
Zn 0.536 0.072 0.000
Zn 0.536 0.464 0.000
Zn 0.591 0.795 0.500
Zn 0.928 0.464 0.000
Pt 0.333 0.667 0.000
Pt 0.391 0.195 0.500
Pt 0.805 0.195 0.500
Pt 0.805 0.609 0.500

The following is a DFT calculation (PBE) of an optimized crystal structure of AlCrGa3.

Properties
Calculated formation energy = 1.18 eV/atom
M_tot = 0.5 Bohr magnetons per cell
DOS at the Fermi energy = 7.934 states/eV/f.u.
E above lowest polymorph = 70.8 kJ/mol of atoms

Lattice parameters (Å, degrees): 4.803 4.803 4.803 90.00 90.00 90.00
Element x y z (fractional)
Al 0.000 0.000 0.000
Cr 0.500 0.500 0.500
Ga 0.000 0.000 0.500
Ga 0.000 0.500 0.000
Ga 0.500 0.000 0.000

The following is a DFT calculation (PBE) of an optimized crystal structure of Nd2Zn2Hg3.

Properties
Calculated formation energy = -0.28 eV/atom
M_tot = 0.6 Bohr magnetons per cell
DOS at the Fermi energy = 5.474 states/eV/f.u.
E above lowest polymorph = 2.1 kJ/mol of atoms

Lattice parameters (Å, degrees): 4.505 20.682 3.677 90.00 90.00 90.00
Element x y z (fractional)
Nd 0.000 0.161 0.000
Nd 0.000 0.839 0.000
Nd 0.500 0.339 0.000
Nd 0.500 0.661 0.000
Zn 0.000 0.281 0.500
Zn 0.000 0.719 0.500
Zn 0.500 0.219 0.500
Zn 0.500 0.781 0.500
Hg 0.000 0.000 0.000
Hg 0.000 0.424 0.500
Hg 0.000 0.576 0.500
Hg 0.500 0.076 0.500
Hg 0.500 0.500 0.000
Hg 0.500 0.924 0.500

| no. | V (Å³/cell) |
| --- | --- |
| 1 | 189.36 |
| 2 | 110.78 |
| 3 | 342.63 |